Entry 1:
Below is crystalline K2WCl6 at its relaxed geometry, with properties calculated at the PBE level.

Calculated values
- Energy above the most stable polymorph in this dataset: 39 meV/atom
- ΔE_f (raw): -1.314 eV/atom
- Energy: -4.23 eV per atom
- Size of the total moment: 0.222 μB per atom

Lattice parameters (Å, degrees): 6.7623 6.7623 13.1897 90.00 90.00 90.00
Positions (direct):
K: 0.0000 0.0000 0.1672
K: 0.0000 0.0000 0.8328
K: 0.5000 0.5000 0.3328
K: 0.5000 0.5000 0.6672
W: 0.0000 0.0000 0.5000
W: 0.5000 0.5000 0.0000
Cl: 0.1763 0.1763 0.3697
Cl: 0.1763 0.1763 0.6303
Cl: 0.2493 0.7507 0.5000
Cl: 0.2507 0.2507 0.0000
Cl: 0.3237 0.6763 0.1303
Cl: 0.3237 0.6763 0.8697
Cl: 0.6763 0.3237 0.1303
Cl: 0.6763 0.3237 0.8697
Cl: 0.7493 0.7493 0.0000
Cl: 0.7507 0.2493 0.5000
Cl: 0.8237 0.8237 0.3697
Cl: 0.8237 0.8237 0.6303



Entry 2:
Below is crystalline K2WCl at its relaxed geometry, with properties calculated at the PBE level.

Calculated values
- Energy above the most stable polymorph in this dataset: 396 meV/atom
- ΔE_f (raw): 0.777 eV/atom
- Energy: -3.47 eV per atom
- Size of the total moment: 1.248 μB per atom

Lattice parameters (Å, degrees): 6.4127 6.4127 6.4127 136.37 111.13 85.16
Positions (direct):
K: 0.2048 0.2048 0.0000
K: 0.7952 0.7952 0.0000
W: 0.5000 0.0000 0.5000
Cl: 0.0000 0.5000 0.5000